Entry 1:
Density functional theory data (PBE-GGA) for YZnBr after structural relaxation.

POSCAR file:
```
YZnBr
1.0
4.9301 0.0000 0.0000
2.4651 4.2696 0.0000
2.4651 1.4232 4.0254
Br Y Zn
1 1 1
Direct
0.5000 0.5000 0.5000 Br
0.2500 0.2500 0.2500 Y
0.0000 0.0000 0.0000 Zn
```

## Properties
magnetic moment: 0.00 μB/cell
E_tot: -10.1 eV per formula unit
ΔE_f (raw): -0.22 eV per atom

***

Entry 2:
Density functional theory data (PBE-GGA) for YZnBr2 after structural relaxation.

POSCAR file:
```
YZnBr2
1.0
5.4241 0.0000 0.0000
1.1977 5.2902 0.0000
-3.3109 -2.6451 3.3856
Br Y Zn
2 1 1
Direct
0.0000 0.0000 0.0000 Br
0.5000 0.5000 0.0000 Br
0.2500 0.7500 0.5000 Y
0.7500 0.2500 0.5000 Zn
```

## Properties
magnetic moment: 0.00 μB/cell
relative energy among the computed polymorphs: 97 kJ/mol of formula units
E_tot: -13.9 eV per formula unit
ΔE_f (raw): -0.71 eV per atom

***

Entry 3:
Density functional theory data (PBE-GGA) for Y2ZnBr after structural relaxation.

POSCAR file:
```
Y2ZnBr
1.0
-2.1676 2.4542 1.4670
-2.2001 -2.6074 1.1111
4.8965 -0.6123 8.2589
Br Y Zn
1 2 1
Direct
0.5000 0.5000 0.8138 Br
0.0000 0.0000 0.9947 Y
0.5000 0.5000 0.2606 Y
0.0000 0.0000 0.4309 Zn
```

## Properties
magnetic moment: 0.00 μB/cell
relative energy among the computed polymorphs: 77 kJ/mol of formula units
E_tot: -17.7 eV per formula unit
ΔE_f (raw): -0.47 eV per atom

***

Entry 4:
Density functional theory data (PBE-GGA) for Y3ZnBr after structural relaxation.

POSCAR file:
```
Y3ZnBr
1.0
-0.7735 2.9490 4.3362
-4.7676 -2.2208 0.6598
2.1838 -3.8038 2.9765
Y Zn Br
3 1 1
Direct
0.0000 0.5000 0.0000 Y
0.0000 0.0000 0.5000 Y
0.5000 0.0000 0.0000 Y
0.5000 0.5000 0.5000 Zn
0.0000 0.0000 0.0000 Br
```

## Properties
magnetic moment: 0.00 μB/cell
relative energy among the computed polymorphs: 0 kJ/mol of formula units
E_tot: -22.6 eV per formula unit
ΔE_f (raw): -0.06 eV per atom

***

Entry 5:
Density functional theory data (PBE-GGA) for YZnBr2 after structural relaxation.

POSCAR file:
```
YZnBr2
1.0
11.1451 0.0183 0.0108
10.4792 3.7948 0.0108
10.4792 1.8478 3.3145
Br Y Zn
2 1 1
Direct
0.9733 0.9733 0.9733 Br
0.5267 0.5267 0.5267 Br
0.2500 0.2500 0.2500 Y
0.7500 0.7500 0.7500 Zn
```

## Properties
magnetic moment: 0.38 μB/cell
relative energy among the computed polymorphs: 2 kJ/mol of formula units
E_tot: -14.9 eV per formula unit
ΔE_f (raw): -0.96 eV per atom

***

Entry 6:
Density functional theory data (PBE-GGA) for Y2ZnBr after structural relaxation.

POSCAR file:
```
Y2ZnBr
1.0
7.8781 -0.0023 -0.0027
6.0507 5.0451 0.0027
-6.8983 -2.7039 2.6770
Br Y Zn
1 2 1
Direct
0.2035 0.7035 0.5000 Br
0.0335 0.0335 0.0000 Y
0.8095 0.3095 0.5000 Y
0.4535 0.4535 0.0000 Zn
```

## Properties
magnetic moment: 0.00 μB/cell
relative energy among the computed polymorphs: 46 kJ/mol of formula units
E_tot: -18.1 eV per formula unit
ΔE_f (raw): -0.55 eV per atom

***

Entry 7:
Density functional theory data (PBE-GGA) for YZnBr2 after structural relaxation.

POSCAR file:
```
YZnBr2
1.0
-6.4581 -6.6969 -0.1351
-3.2775 -8.6535 0.9742
-5.3714 -6.6874 3.6057
Y Zn Br
1 1 2
Direct
0.0000 0.0000 0.0000 Y
0.5000 0.5000 0.5000 Zn
0.8978 0.8978 0.8978 Br
0.1022 0.1022 0.1022 Br
```

## Properties
magnetic moment: 0.00 μB/cell
relative energy among the computed polymorphs: 196 kJ/mol of formula units
E_tot: -12.9 eV per formula unit
ΔE_f (raw): -0.45 eV per atom

***

Entry 8:
Density functional theory data (PBE-GGA) for YZn4Br2 after structural relaxation.

POSCAR file:
```
YZn4Br2
1.0
-1.6274 3.4378 4.6047
-4.7933 -3.4517 0.8830
0.6693 -4.2361 7.2723
Y Zn Br
1 4 2
Direct
0.0000 0.0000 0.0000 Y
0.7972 0.7972 0.4056 Zn
0.2028 0.2028 0.5944 Zn
0.0000 0.5000 0.0000 Zn
0.5000 0.0000 0.0000 Zn
0.6277 0.6277 0.7446 Br
0.3723 0.3723 0.2554 Br
```

## Properties
magnetic moment: 0.00 μB/cell
E_tot: -14.1 eV per formula unit
ΔE_f (raw): 0.11 eV per atom

***

Entry 9:
Density functional theory data (PBE-GGA) for YZnBr2 after structural relaxation.

POSCAR file:
```
YZnBr2
1.0
-0.7069 -4.5294 -3.7373
-2.4559 -1.6509 5.1211
-3.6669 -0.5591 -0.5423
Br Y Zn
2 1 1
Direct
0.0000 0.0000 0.0000 Br
0.5000 0.5000 0.0000 Br
0.5000 0.0000 0.5000 Y
0.0000 0.5000 0.5000 Zn
```

## Properties
magnetic moment: 0.00 μB/cell
relative energy among the computed polymorphs: 117 kJ/mol of formula units
E_tot: -13.7 eV per formula unit
ΔE_f (raw): -0.66 eV per atom

***

Entry 10:
Density functional theory data (PBE-GGA) for Y4ZnBr5 after structural relaxation.

POSCAR file:
```
Y4ZnBr5
1.0
3.8551 0.0000 -0.8478
-0.1748 8.5355 -0.7948
0.0227 -1.1223 9.2922
Y Zn Br
4 1 5
Direct
0.3472 0.9201 0.6944 Y
0.9991 0.7695 0.9982 Y
0.6528 0.0799 0.3056 Y
0.0009 0.2305 0.0018 Y
0.5000 0.0000 0.0000 Zn
0.8329 0.6669 0.6658 Br
0.8250 0.1631 0.6499 Br
0.1750 0.8369 0.3501 Br
0.5000 0.5000 0.0000 Br
0.1671 0.3331 0.3342 Br
```

## Properties
magnetic moment: 0.00 μB/cell
E_tot: -48.5 eV per formula unit
ΔE_f (raw): -1.30 eV per atom

***

Entry 11:
Density functional theory data (PBE-GGA) for YZnBr2 after structural relaxation.

POSCAR file:
```
YZnBr2
1.0
-1.1807 1.4740 3.5893
4.4082 -4.7720 3.4098
7.0568 0.6763 2.0436
Br Y Zn
2 1 1
Direct
0.0000 0.1018 0.1056 Br
0.0000 0.3982 0.3944 Br
0.5000 0.2500 0.2500 Y
0.5000 0.7500 0.7500 Zn
```

## Properties
magnetic moment: 0.00 μB/cell
relative energy among the computed polymorphs: 3 kJ/mol of formula units
E_tot: -14.9 eV per formula unit
ΔE_f (raw): -0.95 eV per atom

***

Entry 12:
Density functional theory data (PBE-GGA) for Y2ZnBr after structural relaxation.

POSCAR file:
```
Y2ZnBr
1.0
6.1710 0.0000 0.0000
0.0000 6.1710 0.0000
3.0855 3.0855 7.0728
Y Zn Br
4 2 2
Direct
0.6049 0.1250 0.2500 Y
0.1451 0.6250 0.2500 Y
0.3750 0.3951 0.7500 Y
0.8750 0.8549 0.7500 Y
0.5000 0.5000 0.0000 Zn
0.2500 0.7500 0.5000 Zn
0.0000 0.0000 0.0000 Br
0.7500 0.2500 0.5000 Br
```

## Properties
magnetic moment: 0.00 μB/cell
relative energy among the computed polymorphs: 192 kJ/mol of formula units
E_tot: -16.6 eV per formula unit
ΔE_f (raw): -0.17 eV per atom

***

Entry 13:
Density functional theory data (PBE-GGA) for YZnBr after structural relaxation.

POSCAR file:
```
YZnBr
1.0
-3.4679 -3.4785 -0.2420
1.0981 -4.4465 -1.7910
0.1982 -3.8833 3.0108
Br Y Zn
1 1 1
Direct
0.0000 0.0000 0.0000 Br
0.5000 0.5000 0.5000 Y
0.2500 0.2500 0.2500 Zn
```

## Properties
magnetic moment: 0.00 μB/cell
E_tot: -9.5 eV per formula unit
ΔE_f (raw): -0.02 eV per atom

***

Entry 14:
Density functional theory data (PBE-GGA) for Y2ZnBr after structural relaxation.

POSCAR file:
```
Y2ZnBr
1.0
-0.9264 6.3573 1.4810
-5.4937 3.4941 -1.0383
2.2094 -5.6989 2.4716
Br Y Zn
1 2 1
Direct
0.7500 0.2500 0.5000 Br
0.0000 0.0000 0.0000 Y
0.2500 0.7500 0.5000 Y
0.5000 0.5000 0.0000 Zn
```

## Properties
magnetic moment: 0.01 μB/cell
relative energy among the computed polymorphs: 131 kJ/mol of formula units
E_tot: -17.2 eV per formula unit
ΔE_f (raw): -0.33 eV per atom

***

Entry 15:
Density functional theory data (PBE-GGA) for YZnBr2 after structural relaxation.

POSCAR file:
```
YZnBr2
1.0
-2.9471 0.3279 4.3357
-3.7024 -0.1624 -3.7225
-0.0701 -3.6708 0.2299
Br Y Zn
2 1 1
Direct
0.0000 0.0000 0.0000 Br
0.5000 0.5000 0.0000 Br
0.5000 0.0000 0.5000 Y
0.0000 0.5000 0.5000 Zn
```

## Properties
magnetic moment: 0.00 μB/cell
relative energy among the computed polymorphs: 125 kJ/mol of formula units
E_tot: -13.6 eV per formula unit
ΔE_f (raw): -0.64 eV per atom